1.
# PBE Ca2PW, relaxed
# ΔE to the lowest computed polymorph (eV per atom): 0.404
# Uncorrected energy (eV per cell): -84.47
# Size of the total moment (μB per cell): 7.30
data_Ca2PW
_chemical_formula_sum 'Ca8 P4 W4'
_symmetry_space_group_name_H-M 'I -4 2 d'
_symmetry_Int_Tables_number 122
_symmetry_space_group_name_Hall 'I -4 2bw'
_cell_length_a 10.272
_cell_length_b 10.272
_cell_length_c 4.605
_cell_angle_alpha 90.00
_cell_angle_beta 90.00
_cell_angle_gamma 90.00
loop_
_atom_site_label
_atom_site_type_symbol
_atom_site_fract_x
_atom_site_fract_y
_atom_site_fract_z
Ca1 Ca 0.096 0.250 0.125
P1 P 0.000 0.000 0.000
W1 W 0.000 0.000 0.500

2.
# PBE CaP4W, relaxed
# Uncorrected energy (eV per cell): -131.69
# Size of the total moment (μB per cell): 0.00
data_CaP4W
_chemical_formula_sum 'Ca4 P16 W4'
_symmetry_space_group_name_H-M 'F -4 3 m'
_symmetry_Int_Tables_number 216
_symmetry_space_group_name_Hall 'F -4 2 3'
_cell_length_a 7.302
_cell_length_b 7.302
_cell_length_c 7.302
_cell_angle_alpha 90.00
_cell_angle_beta 90.00
_cell_angle_gamma 90.00
loop_
_atom_site_label
_atom_site_type_symbol
_atom_site_fract_x
_atom_site_fract_y
_atom_site_fract_z
Ca1 Ca 0.000 0.000 0.000
P1 P 0.121 0.121 0.621
W1 W 0.250 0.250 0.250

3.
# PBE Ca2PW, relaxed
# ΔE to the lowest computed polymorph (eV per atom): 0.659
# Uncorrected energy (eV per cell): -40.20
# Size of the total moment (μB per cell): 2.00
data_Ca2PW
_chemical_formula_sum 'Ca4 P2 W2'
_symmetry_space_group_name_H-M 'I m m m'
_symmetry_Int_Tables_number 71
_symmetry_space_group_name_Hall '-I 2 2'
_cell_length_a 3.935
_cell_length_b 4.311
_cell_length_c 9.375
_cell_angle_alpha 90.00
_cell_angle_beta 90.00
_cell_angle_gamma 90.00
loop_
_atom_site_label
_atom_site_type_symbol
_atom_site_fract_x
_atom_site_fract_y
_atom_site_fract_z
Ca1 Ca 0.000 0.000 0.238
P1 P 0.000 0.500 0.500
W1 W 0.000 0.500 0.000

4.
# PBE Ca2P2W, relaxed
# Uncorrected energy (eV per cell): -60.70
# Size of the total moment (μB per cell): 0.00
data_Ca2P2W
_chemical_formula_sum 'Ca4 P4 W2'
_symmetry_space_group_name_H-M 'P 4/m b m'
_symmetry_Int_Tables_number 127
_symmetry_space_group_name_Hall '-P 4 2ab'
_cell_length_a 6.619
_cell_length_b 6.619
_cell_length_c 4.382
_cell_angle_alpha 90.00
_cell_angle_beta 90.00
_cell_angle_gamma 90.00
loop_
_atom_site_label
_atom_site_type_symbol
_atom_site_fract_x
_atom_site_fract_y
_atom_site_fract_z
Ca1 Ca 0.170 0.330 0.000
P1 P 0.145 0.645 0.500
W1 W 0.000 0.000 0.500

5.
# PBE Ca2PW, relaxed
# ΔE to the lowest computed polymorph (eV per atom): 0.531
# Uncorrected energy (eV per cell): -41.22
# Size of the total moment (μB per cell): 0.00
data_Ca2PW
_chemical_formula_sum 'Ca4 P2 W2'
_symmetry_space_group_name_H-M 'C m m m'
_symmetry_Int_Tables_number 65
_symmetry_space_group_name_Hall '-C 2 2'
_cell_length_a 6.079
_cell_length_b 9.208
_cell_length_c 2.920
_cell_angle_alpha 90.00
_cell_angle_beta 90.00
_cell_angle_gamma 90.00
loop_
_atom_site_label
_atom_site_type_symbol
_atom_site_fract_x
_atom_site_fract_y
_atom_site_fract_z
Ca1 Ca 0.250 0.250 0.000
P1 P 0.000 0.000 0.500
W1 W 0.000 0.500 0.500

6.
# PBE Ca2PW, relaxed
# ΔE to the lowest computed polymorph (eV per atom): 0.000
# Uncorrected energy (eV per cell): -22.74
# Size of the total moment (μB per cell): 0.00
data_Ca2PW
_chemical_formula_sum 'Ca2 P1 W1'
_symmetry_space_group_name_H-M 'P 4 m m'
_symmetry_Int_Tables_number 99
_symmetry_space_group_name_Hall 'P 4 -2'
_cell_length_a 3.297
_cell_length_b 3.297
_cell_length_c 8.566
_cell_angle_alpha 90.00
_cell_angle_beta 90.00
_cell_angle_gamma 90.00
loop_
_atom_site_label
_atom_site_type_symbol
_atom_site_fract_x
_atom_site_fract_y
_atom_site_fract_z
Ca1 Ca 0.000 0.000 0.000
Ca2 Ca 0.500 0.500 0.393
P1 P 0.000 0.000 0.630
W1 W 0.500 0.500 0.743

7.
# PBE Ca2PW, relaxed
# ΔE to the lowest computed polymorph (eV per atom): 0.545
# Uncorrected energy (eV per cell): -61.66
# Size of the total moment (μB per cell): 0.08
data_Ca2PW
_chemical_formula_sum 'Ca6 P3 W3'
_symmetry_space_group_name_H-M 'R -3 m'
_symmetry_Int_Tables_number 166
_symmetry_space_group_name_Hall '-R 3 2"'
_cell_length_a 3.2324
_cell_length_b 3.2324
_cell_length_c 28.4731
_cell_angle_alpha 90.00
_cell_angle_beta 90.00
_cell_angle_gamma 120.00
loop_
_atom_site_label
_atom_site_type_symbol
_atom_site_fract_x
_atom_site_fract_y
_atom_site_fract_z
Ca1 Ca 0.0000 0.0000 0.2427
P1 P 0.0000 0.0000 0.5000
W1 W 0.0000 0.0000 0.0000

8.
# PBE Ca2PW, relaxed
# ΔE to the lowest computed polymorph (eV per atom): 0.127
# Uncorrected energy (eV per cell): -44.45
# Size of the total moment (μB per cell): 0.00
data_Ca2PW
_chemical_formula_sum 'Ca4 P2 W2'
_symmetry_space_group_name_H-M 'C 1 m 1'
_symmetry_Int_Tables_number 8
_symmetry_space_group_name_Hall 'C -2y'
_cell_length_a 11.542
_cell_length_b 3.426
_cell_length_c 5.188
_cell_angle_alpha 90.00
_cell_angle_beta 116.30
_cell_angle_gamma 90.00
loop_
_atom_site_label
_atom_site_type_symbol
_atom_site_fract_x
_atom_site_fract_y
_atom_site_fract_z
Ca1 Ca 0.000 0.000 0.000
Ca2 Ca 0.190 0.000 0.687
P1 P 0.229 0.500 0.223
W1 W 0.384 0.000 0.384

9.
# PBE Ca2PW, relaxed
# ΔE to the lowest computed polymorph (eV per atom): 0.318
# Uncorrected energy (eV per cell): -21.46
# Size of the total moment (μB per cell): 0.00
data_Ca2PW
_chemical_formula_sum 'Ca2 P1 W1'
_symmetry_space_group_name_H-M 'P m m m'
_symmetry_Int_Tables_number 47
_symmetry_space_group_name_Hall '-P 2 2'
_cell_length_a 2.986
_cell_length_b 3.026
_cell_length_c 9.123
_cell_angle_alpha 90.00
_cell_angle_beta 90.00
_cell_angle_gamma 90.00
loop_
_atom_site_label
_atom_site_type_symbol
_atom_site_fract_x
_atom_site_fract_y
_atom_site_fract_z
Ca1 Ca 0.000 0.000 0.227
P1 P 0.500 0.500 0.000
W1 W 0.500 0.500 0.500

10.
# PBE Ca3PW, relaxed
# ΔE to the lowest computed polymorph (eV per atom): 0.599
# Uncorrected energy (eV per cell): -18.86
# Size of the total moment (μB per cell): 0.00
data_Ca3PW
_chemical_formula_sum 'Ca3 P1 W1'
_symmetry_space_group_name_H-M 'P m -3 m'
_symmetry_Int_Tables_number 221
_symmetry_space_group_name_Hall '-P 4 2 3'
_cell_length_a 5.368
_cell_length_b 5.368
_cell_length_c 5.368
_cell_angle_alpha 90.00
_cell_angle_beta 90.00
_cell_angle_gamma 90.00
loop_
_atom_site_label
_atom_site_type_symbol
_atom_site_fract_x
_atom_site_fract_y
_atom_site_fract_z
Ca1 Ca 0.000 0.000 0.500
P1 P 0.500 0.500 0.500
W1 W 0.000 0.000 0.000

11.
# PBE Ca2PW, relaxed
# ΔE to the lowest computed polymorph (eV per atom): 0.741
# Uncorrected energy (eV per cell): -79.08
# Size of the total moment (μB per cell): 3.92
data_Ca2PW
_chemical_formula_sum 'Ca8 P4 W4'
_symmetry_space_group_name_H-M 'F -4 3 m'
_symmetry_Int_Tables_number 216
_symmetry_space_group_name_Hall 'F -4 2 3'
_cell_length_a 6.797
_cell_length_b 6.797
_cell_length_c 6.797
_cell_angle_alpha 90.00
_cell_angle_beta 90.00
_cell_angle_gamma 90.00
loop_
_atom_site_label
_atom_site_type_symbol
_atom_site_fract_x
_atom_site_fract_y
_atom_site_fract_z
Ca1 Ca 0.000 0.000 0.000
Ca2 Ca 0.250 0.250 0.250
P1 P 0.250 0.250 0.750
W1 W 0.000 0.000 0.500

12.
# PBE CaYP, relaxed
# Uncorrected energy (eV per cell): -16.58
# Size of the total moment (μB per cell): 0.16
data_CaYP
_chemical_formula_sum 'Ca1 Y1 P1'
_symmetry_space_group_name_H-M 'P 3 m 1'
_symmetry_Int_Tables_number 156
_symmetry_space_group_name_Hall 'P 3 -2"'
_cell_length_a 4.0124
_cell_length_b 4.0124
_cell_length_c 6.5859
_cell_angle_alpha 90.00
_cell_angle_beta 90.00
_cell_angle_gamma 120.00
loop_
_atom_site_label
_atom_site_type_symbol
_atom_site_fract_x
_atom_site_fract_y
_atom_site_fract_z
Ca1 Ca 0.0000 0.0000 0.0000
Y1 Y 0.3333 0.6667 0.4842
P1 P 0.6667 0.3333 0.2632

13.
# PBE CaYP2, relaxed
# ΔE to the lowest computed polymorph (eV per atom): 0.076
# Uncorrected energy (eV per cell): -71.26
# Size of the total moment (μB per cell): 0.00
data_CaYP2
_chemical_formula_sum 'Ca3 Y3 P6'
_symmetry_space_group_name_H-M 'R 3 m'
_symmetry_Int_Tables_number 160
_symmetry_space_group_name_Hall 'R 3 -2"'
_cell_length_a 4.0231
_cell_length_b 4.0231
_cell_length_c 20.8464
_cell_angle_alpha 90.00
_cell_angle_beta 90.00
_cell_angle_gamma 120.00
loop_
_atom_site_label
_atom_site_type_symbol
_atom_site_fract_x
_atom_site_fract_y
_atom_site_fract_z
Ca1 Ca 0.0000 0.0000 0.0000
Y1 Y 0.0000 0.0000 0.8269
P1 P 0.0000 0.0000 0.2405
P2 P 0.0000 0.0000 0.4183

14.
# PBE CaY4P, relaxed
# Uncorrected energy (eV per cell): -122.93
# Size of the total moment (μB per cell): 0.00
data_CaY4P
_chemical_formula_sum 'Ca4 Y16 P4'
_symmetry_space_group_name_H-M 'F -4 3 m'
_symmetry_Int_Tables_number 216
_symmetry_space_group_name_Hall 'F -4 2 3'
_cell_length_a 9.184
_cell_length_b 9.184
_cell_length_c 9.184
_cell_angle_alpha 90.00
_cell_angle_beta 90.00
_cell_angle_gamma 90.00
loop_
_atom_site_label
_atom_site_type_symbol
_atom_site_fract_x
_atom_site_fract_y
_atom_site_fract_z
Ca1 Ca 0.000 0.000 0.000
Y1 Y 0.125 0.125 0.375
P1 P 0.250 0.250 0.750

15.
# PBE Ca3YP, relaxed
# ΔE to the lowest computed polymorph (eV per atom): 1.436
# Uncorrected energy (eV per cell): -12.14
# Size of the total moment (μB per cell): 3.96
data_Ca3YP
_chemical_formula_sum 'Ca3 Y1 P1'
_symmetry_space_group_name_H-M 'P m -3 m'
_symmetry_Int_Tables_number 221
_symmetry_space_group_name_Hall '-P 4 2 3'
_cell_length_a 5.920
_cell_length_b 5.920
_cell_length_c 5.920
_cell_angle_alpha 90.00
_cell_angle_beta 90.00
_cell_angle_gamma 90.00
loop_
_atom_site_label
_atom_site_type_symbol
_atom_site_fract_x
_atom_site_fract_y
_atom_site_fract_z
Ca1 Ca 0.000 0.000 0.500
Y1 Y 0.000 0.000 0.000
P1 P 0.500 0.500 0.500

16.
# PBE Ca4YP, relaxed
# Uncorrected energy (eV per cell): -68.91
# Size of the total moment (μB per cell): 5.40
data_Ca4YP
_chemical_formula_sum 'Ca16 Y4 P4'
_symmetry_space_group_name_H-M 'F -4 3 m'
_symmetry_Int_Tables_number 216
_symmetry_space_group_name_Hall 'F -4 2 3'
_cell_length_a 9.397
_cell_length_b 9.397
_cell_length_c 9.397
_cell_angle_alpha 90.00
_cell_angle_beta 90.00
_cell_angle_gamma 90.00
loop_
_atom_site_label
_atom_site_type_symbol
_atom_site_fract_x
_atom_site_fract_y
_atom_site_fract_z
Ca1 Ca 0.125 0.125 0.125
Y1 Y 0.000 0.000 0.500
P1 P 0.250 0.250 0.750

17.
# PBE CaY5P6, relaxed
# Uncorrected energy (eV per cell): -169.41
# Size of the total moment (μB per cell): 0.00
data_CaY5P6
_chemical_formula_sum 'Ca2 Y10 P12'
_symmetry_space_group_name_H-M 'C 1 2/m 1'
_symmetry_Int_Tables_number 12
_symmetry_space_group_name_Hall '-C 2y'
_cell_length_a 6.975
_cell_length_b 12.091
_cell_length_c 6.994
_cell_angle_alpha 90.00
_cell_angle_beta 109.44
_cell_angle_gamma 90.00
loop_
_atom_site_label
_atom_site_type_symbol
_atom_site_fract_x
_atom_site_fract_y
_atom_site_fract_z
Ca1 Ca 0.000 0.000 0.000
Y1 Y 0.000 0.165 0.500
Y2 Y 0.000 0.333 0.000
Y3 Y 0.000 0.500 0.500
P1 P 0.245 0.500 0.253
P2 P 0.246 0.330 0.747

18.
# PBE CaYP2, relaxed
# ΔE to the lowest computed polymorph (eV per atom): 0.117
# Uncorrected energy (eV per cell): -47.19
# Size of the total moment (μB per cell): 0.00
data_CaYP2
_chemical_formula_sum 'Ca2 Y2 P4'
_symmetry_space_group_name_H-M 'C 1 m 1'
_symmetry_Int_Tables_number 8
_symmetry_space_group_name_Hall 'C -2y'
_cell_length_a 10.632
_cell_length_b 3.912
_cell_length_c 4.215
_cell_angle_alpha 90.00
_cell_angle_beta 96.86
_cell_angle_gamma 90.00
loop_
_atom_site_label
_atom_site_type_symbol
_atom_site_fract_x
_atom_site_fract_y
_atom_site_fract_z
Ca1 Ca 0.000 0.000 0.000
Y1 Y 0.261 0.000 0.479
P1 P 0.035 0.500 0.523
P2 P 0.233 0.500 0.955

19.
# PBE CaYP, relaxed
# Uncorrected energy (eV per cell): -65.04
# Size of the total moment (μB per cell): 0.14
data_CaYP
_chemical_formula_sum 'Ca4 Y4 P4'
_symmetry_space_group_name_H-M 'F -4 3 m'
_symmetry_Int_Tables_number 216
_symmetry_space_group_name_Hall 'F -4 2 3'
_cell_length_a 6.710
_cell_length_b 6.710
_cell_length_c 6.710
_cell_angle_alpha 90.00
_cell_angle_beta 90.00
_cell_angle_gamma 90.00
loop_
_atom_site_label
_atom_site_type_symbol
_atom_site_fract_x
_atom_site_fract_y
_atom_site_fract_z
Ca1 Ca 0.000 0.000 0.000
Y1 Y 0.000 0.000 0.500
P1 P 0.250 0.250 0.250

20.
# PBE CaYP2, relaxed
# ΔE to the lowest computed polymorph (eV per atom): 1.061
# Uncorrected energy (eV per cell): -79.27
# Size of the total moment (μB per cell): 0.00
data_CaYP2
_chemical_formula_sum 'Ca4 Y4 P8'
_symmetry_space_group_name_H-M 'F -4 3 m'
_symmetry_Int_Tables_number 216
_symmetry_space_group_name_Hall 'F -4 2 3'
_cell_length_a 6.907
_cell_length_b 6.907
_cell_length_c 6.907
_cell_angle_alpha 90.00
_cell_angle_beta 90.00
_cell_angle_gamma 90.00
loop_
_atom_site_label
_atom_site_type_symbol
_atom_site_fract_x
_atom_site_fract_y
_atom_site_fract_z
Ca1 Ca 0.000 0.000 0.000
Y1 Y 0.250 0.250 0.750
P1 P 0.000 0.000 0.500
P2 P 0.250 0.250 0.250